(1)
Crystalline ZrCu2S4 at its relaxed geometry, computed with PBE. Values from VASP.

Cell and atoms, written as Quantum ESPRESSO input:
```
&SYSTEM
  ibrav = 0, nat = 7, ntyp = 3
/
ATOMIC_SPECIES
S 32.06 S.upf
Cu 63.55 Cu.upf
Zr 91.22 Zr.upf
CELL_PARAMETERS angstrom
5.018 0.000 0.000
0.000 5.018 0.000
2.509 2.509 5.849
ATOMIC_POSITIONS crystal
S 0.500 0.000 0.000
Cu 0.398 0.398 0.204
Zr 0.000 0.000 0.000
S 0.785 0.785 0.429
S 0.215 0.215 0.571
S 0.000 0.500 0.000
Cu 0.602 0.602 0.796
```

Output
- energy relative to the elements, uncorrected (eV per atom) = -0.2338
- D(E_F) (states/eV per atom) = 0.93



(2)
Crystalline ZrCuS2 at its relaxed geometry, computed with PBE. Values from VASP.

Cell and atoms, written as Quantum ESPRESSO input:
```
&SYSTEM
  ibrav = 0, nat = 8, ntyp = 3
/
ATOMIC_SPECIES
S 32.06 S.upf
Cu 63.55 Cu.upf
Zr 91.22 Zr.upf
CELL_PARAMETERS angstrom
-1.630 3.135 -1.149
-4.083 -2.688 -1.542
-2.869 -0.556 8.561
ATOMIC_POSITIONS crystal
S 0.098 0.890 0.195
Cu 0.000 0.640 0.000
S 0.902 0.390 0.805
S 0.307 0.890 0.615
Zr 0.704 0.890 0.408
Cu 0.000 0.140 0.000
Zr 0.296 0.390 0.592
S 0.693 0.390 0.385
```

Output
- energy relative to the elements, uncorrected (eV per atom) = -0.9978
- D(E_F) (states/eV per atom) = 0.28



(3)
Crystalline ZrCu2S at its relaxed geometry, computed with PBE. Values from VASP.

Cell and atoms, written as Quantum ESPRESSO input:
```
&SYSTEM
  ibrav = 0, nat = 8, ntyp = 3
/
ATOMIC_SPECIES
Zr 91.22 Zr.upf
S 32.06 S.upf
Cu 63.55 Cu.upf
CELL_PARAMETERS angstrom
7.184 0.000 0.000
0.000 7.184 0.000
3.592 3.592 2.500
ATOMIC_POSITIONS crystal
Zr 0.000 0.000 0.000
S 0.500 0.500 0.000
S 0.250 0.750 0.500
Cu 0.375 0.420 0.750
Cu 0.580 0.125 0.250
Cu 0.170 0.625 0.250
Zr 0.750 0.250 0.500
Cu 0.875 0.830 0.750
```

Output
- energy relative to the elements, uncorrected (eV per atom) = -0.3013
- D(E_F) (states/eV per atom) = 0.06



(4)
Crystalline ZrCuS2 at its relaxed geometry, computed with PBE. Values from VASP.

Cell and atoms, written as Quantum ESPRESSO input:
```
&SYSTEM
  ibrav = 0, nat = 4, ntyp = 3
/
ATOMIC_SPECIES
Cu 63.55 Cu.upf
Zr 91.22 Zr.upf
S 32.06 S.upf
CELL_PARAMETERS angstrom
-7.500 1.736 0.322
-6.483 1.722 3.790
-5.895 4.644 1.746
ATOMIC_POSITIONS crystal
Cu 0.000 0.000 0.000
Zr 0.500 0.500 0.500
S 0.903 0.903 0.903
S 0.097 0.097 0.097
```

Output
- energy relative to the elements, uncorrected (eV per atom) = -0.9753
- D(E_F) (states/eV per atom) = 0.47



(5)
Crystalline ZrCu2S3 at its relaxed geometry, computed with PBE. Values from VASP.

Cell and atoms, written as Quantum ESPRESSO input:
```
&SYSTEM
  ibrav = 0, nat = 12, ntyp = 3
/
ATOMIC_SPECIES
S 32.06 S.upf
Cu 63.55 Cu.upf
Zr 91.22 Zr.upf
CELL_PARAMETERS angstrom
-1.379 2.326 -2.483
-6.168 -3.506 0.142
-1.410 6.839 7.188
ATOMIC_POSITIONS crystal
S 0.750 0.920 0.188
S 0.750 0.567 0.843
Cu 0.250 0.410 0.917
Zr 0.250 0.751 0.298
S 0.750 0.741 0.492
S 0.250 0.259 0.508
Cu 0.250 0.932 0.581
Zr 0.750 0.249 0.702
Cu 0.750 0.068 0.419
S 0.250 0.433 0.157
S 0.250 0.080 0.812
Cu 0.750 0.590 0.083
```

Output
- energy relative to the elements, uncorrected (eV per atom) = -0.8128



(6)
Crystalline CuSb3 at its relaxed geometry, computed with PBE. Values from VASP.

Cell and atoms, written as Quantum ESPRESSO input:
```
&SYSTEM
  ibrav = 0, nat = 4, ntyp = 2
/
ATOMIC_SPECIES
Sb 121.76 Sb.upf
Cu 63.55 Cu.upf
CELL_PARAMETERS angstrom
-1.633 3.856 -2.986
1.767 0.455 -4.809
-3.106 -0.970 -3.983
ATOMIC_POSITIONS crystal
Sb 0.500 0.500 0.500
Sb 0.750 0.750 0.750
Cu 0.000 0.000 0.000
Sb 0.250 0.250 0.250
```

Output
- energy relative to the elements, uncorrected (eV per atom) = 0.3909
- D(E_F) (states/eV per atom) = 0.66



(7)
Crystalline CuSb2 at its relaxed geometry, computed with PBE. Values from VASP.

Cell and atoms, written as Quantum ESPRESSO input:
```
&SYSTEM
  ibrav = 0, nat = 6, ntyp = 2
/
ATOMIC_SPECIES
Cu 63.55 Cu.upf
Sb 121.76 Sb.upf
CELL_PARAMETERS angstrom
1.448 4.074 -1.292
-1.950 -2.756 -2.995
-7.178 3.122 1.800
ATOMIC_POSITIONS crystal
Cu 0.667 0.333 0.750
Sb 0.000 0.000 0.500
Sb 0.667 0.333 0.250
Sb 0.333 0.667 0.750
Cu 0.333 0.667 0.250
Sb 0.000 0.000 0.000
```

Output
- energy relative to the elements, uncorrected (eV per atom) = 0.2820
- D(E_F) (states/eV per atom) = 0.41



(8)
Crystalline CuSb3 at its relaxed geometry, computed with PBE. Values from VASP.

Cell and atoms, written as Quantum ESPRESSO input:
```
&SYSTEM
  ibrav = 0, nat = 4, ntyp = 2
/
ATOMIC_SPECIES
Sb 121.76 Sb.upf
Cu 63.55 Cu.upf
CELL_PARAMETERS angstrom
-2.585 -1.511 1.148
1.978 0.001 2.523
-3.589 8.277 2.812
ATOMIC_POSITIONS crystal
Sb 0.500 0.500 0.196
Sb 0.000 0.000 0.500
Sb 0.500 0.500 0.804
Cu 0.000 0.000 0.000
```

Output
- energy relative to the elements, uncorrected (eV per atom) = 0.2253
- D(E_F) (states/eV per atom) = 0.46



(9)
Crystalline CuSb3 at its relaxed geometry, computed with PBE. Values from VASP.

Cell and atoms, written as Quantum ESPRESSO input:
```
&SYSTEM
  ibrav = 0, nat = 4, ntyp = 2
/
ATOMIC_SPECIES
Cu 63.55 Cu.upf
Sb 121.76 Sb.upf
CELL_PARAMETERS angstrom
5.031 0.000 0.000
0.000 5.031 0.000
0.000 0.000 3.779
ATOMIC_POSITIONS crystal
Cu 0.000 0.000 0.000
Sb 0.500 0.000 0.500
Sb 0.500 0.500 0.000
Sb 0.000 0.500 0.500
```

Output
- energy relative to the elements, uncorrected (eV per atom) = 0.3855
- D(E_F) (states/eV per atom) = 0.53



(10)
Crystalline Cu2Sb3 at its relaxed geometry, computed with PBE. Values from VASP.

Cell and atoms, written as Quantum ESPRESSO input:
```
&SYSTEM
  ibrav = 0, nat = 10, ntyp = 2
/
ATOMIC_SPECIES
Cu 63.55 Cu.upf
Sb 121.76 Sb.upf
CELL_PARAMETERS angstrom
-1.582 -5.001 4.778
1.707 -6.772 -1.254
4.524 -3.208 3.408
ATOMIC_POSITIONS crystal
Cu 0.835 0.835 0.496
Sb 0.750 0.406 0.750
Cu 0.665 0.665 0.004
Sb 0.906 0.250 0.250
Cu 0.335 0.335 0.996
Sb 0.094 0.750 0.750
Sb 0.250 0.594 0.250
Cu 0.165 0.165 0.504
Sb 0.594 0.906 0.250
Sb 0.406 0.094 0.750
```

Output
- energy relative to the elements, uncorrected (eV per atom) = 0.0707
- D(E_F) (states/eV per atom) = 0.39



(11)
Crystalline CuSb2 at its relaxed geometry, computed with PBE. Values from VASP.

Cell and atoms, written as Quantum ESPRESSO input:
```
&SYSTEM
  ibrav = 0, nat = 3, ntyp = 2
/
ATOMIC_SPECIES
Sb 121.76 Sb.upf
Cu 63.55 Cu.upf
CELL_PARAMETERS angstrom
4.063 0.000 0.000
-2.032 3.519 0.000
0.000 0.000 4.865
ATOMIC_POSITIONS crystal
Sb 0.333 0.667 0.741
Cu 0.000 0.000 0.000
Sb 0.667 0.333 0.259
```

Output
- energy relative to the elements, uncorrected (eV per atom) = 0.0928
- D(E_F) (states/eV per atom) = 0.60



(12)
Crystalline CuSb3 at its relaxed geometry, computed with PBE. Values from VASP.

Cell and atoms, written as Quantum ESPRESSO input:
```
&SYSTEM
  ibrav = 0, nat = 4, ntyp = 2
/
ATOMIC_SPECIES
Sb 121.76 Sb.upf
Cu 63.55 Cu.upf
CELL_PARAMETERS angstrom
-2.317 -1.370 1.786
2.179 -1.820 1.431
1.206 6.733 6.727
ATOMIC_POSITIONS crystal
Sb 0.000 0.500 0.450
Cu 0.000 0.000 0.978
Sb 0.500 0.000 0.754
Sb 0.500 0.500 0.152
```

Output
- energy relative to the elements, uncorrected (eV per atom) = 0.1941
- D(E_F) (states/eV per atom) = 0.36



(13)
Crystalline CuSb3 at its relaxed geometry, computed with PBE. Values from VASP.

Cell and atoms, written as Quantum ESPRESSO input:
```
&SYSTEM
  ibrav = 0, nat = 8, ntyp = 2
/
ATOMIC_SPECIES
Sb 121.76 Sb.upf
Cu 63.55 Cu.upf
CELL_PARAMETERS angstrom
-5.080 0.726 2.783
0.220 -5.654 1.436
3.060 1.442 5.210
ATOMIC_POSITIONS crystal
Sb 0.040 0.502 0.750
Sb 0.004 0.004 0.250
Sb 0.960 0.498 0.250
Sb 0.996 0.996 0.750
Cu 0.509 0.509 0.750
Cu 0.491 0.491 0.250
Sb 0.498 0.960 0.250
Sb 0.502 0.040 0.750
```

Output
- energy relative to the elements, uncorrected (eV per atom) = 0.2767
- D(E_F) (states/eV per atom) = 0.37